1.
An optimized crystal structure of ReMo2Pb. Source: Alexandria, functional PBE.

a = 9.616 Å, b = 3.155 Å, c = 4.831 Å
α = 90.00°, β = 105.36°, γ = 90.00°
Space group C2/m (No. 12)
Unique sites:
Re 0.000 0.000 0.000 x2
Mo 0.235 0.500 0.209 x4
Pb 0.000 0.500 0.500 x2

Results
The formation energy is 61.2 kJ/mol of atoms.

***

2.
An optimized crystal structure of ZrInAgF6. Source: Alexandria, functional PBE.

a = 5.349 Å, b = 6.200 Å, c = 6.252 Å
α = 60.28°, β = 89.83°, γ = 89.67°
Space group P1 (No. 1)
Unique sites:
Zr 0.000 0.000 0.000 x1
In 0.499 0.334 0.332 x1
Ag 0.997 0.668 0.664 x1
F 0.213 0.278 0.734 x1
F 0.213 0.988 0.277 x1
F 0.214 0.730 0.989 x1
F 0.786 0.280 0.991 x1
F 0.786 0.733 0.276 x1
F 0.786 0.990 0.733 x1

Results
The calculation puts the energy relative to the elements, uncorrected at -2651 meV/atom.

***

For reference, total DFT energy (no corrections) by record: -8.821; -5.470 eV per atom.
For reference, N(E_F) by record: 0.710; 0.000 states/eV per atom.